[1]
CsHg2Te2 (PBE-GGA, relaxed); calculated total energy = -1.8306 eV/atom; formation energy without anion corrections = -0.28 eV per atom; symmetry = I4_1/amd
1.0
-6.721 -3.746 2.226
4.357 -5.825 3.353
1.231 8.720 3.980
Cs Hg Te
2 4 4
Direct
0.000 0.000 0.000
0.250 0.750 0.500
0.125 0.375 0.750
0.625 0.375 0.250
0.625 0.875 0.250
0.625 0.375 0.750
0.748 0.748 0.496
0.502 0.002 0.004
0.252 0.252 0.504
0.998 0.498 0.996


[2]
CsHgTe (PBE-GGA, relaxed); calculated total energy = -2.0538 eV/atom; formation energy without anion corrections = -0.62 eV per atom; symmetry = Cm
1.0
10.195 0.000 0.000
0.000 4.892 0.000
-9.790 0.000 10.356
Cs Te Hg
4 4 4
Direct
0.799 0.000 0.805
0.799 0.500 0.305
0.169 0.000 0.268
0.169 0.500 0.768
0.586 0.000 0.029
0.586 0.500 0.529
0.193 0.000 0.558
0.193 0.500 0.058
0.629 0.000 0.402
0.629 0.500 0.902
0.388 0.000 0.102
0.388 0.500 0.602


[3]
Cs2Hg3Te2 (PBE-GGA, relaxed); calculated total energy = -1.7928 eV/atom; formation energy without anion corrections = -0.52 eV per atom; symmetry = C2/m
1.0
-2.544 1.159 -4.044
4.609 -6.166 -1.677
-5.826 -5.072 2.212
Cs Hg Te
2 3 2
Direct
0.850 0.701 0.251
0.150 0.299 0.749
0.500 0.000 0.000
0.570 0.139 0.382
0.430 0.861 0.618
0.849 0.697 0.750
0.151 0.303 0.250


[4]
Cs3HgTe3 (PBE-GGA, relaxed); calculated total energy = -2.4371 eV/atom; formation energy without anion corrections = -0.68 eV per atom; symmetry = R3m
1.0
7.609 0.000 -1.636
-3.293 6.234 -2.974
-1.023 0.000 7.583
Cs Hg Te
3 1 3
Direct
0.563 0.570 0.570
0.994 0.000 0.430
0.994 0.430 0.000
0.373 0.000 0.000
0.092 0.612 0.612
0.480 0.000 0.388
0.480 0.388 0.000


[5]
CsHg3Te3 (PBE-GGA, relaxed); calculated total energy = -1.8979 eV/atom; formation energy without anion corrections = -0.30 eV per atom; symmetry = Pm-3n
1.0
8.362 0.000 0.000
0.000 8.362 0.000
0.000 0.000 8.362
Cs Te Hg
2 6 6
Direct
0.500 0.500 0.500
0.000 0.000 0.000
0.250 0.000 0.500
0.000 0.500 0.250
0.500 0.750 0.000
0.750 0.000 0.500
0.000 0.500 0.750
0.500 0.250 0.000
0.000 0.250 0.500
0.000 0.750 0.500
0.500 0.000 0.750
0.750 0.500 0.000
0.500 0.000 0.250
0.250 0.500 0.000


[6]
CsHgTe (PBE-GGA, relaxed); calculated total energy = -2.0575 eV/atom; formation energy without anion corrections = -0.63 eV per atom; symmetry = P1
1.0
-0.114 0.920 5.863
5.636 -3.434 -2.347
2.230 7.484 -1.155
Cs Te Hg
2 2 2
Direct
0.007 0.237 0.750
0.275 0.775 0.378
0.613 0.451 0.492
0.339 0.898 0.898
0.517 0.255 0.154
0.701 0.622 0.947